Computed, not measured: a relaxed TbSi2Ni crystal at the GGA-PBE level of DFT.

Calculated values
- symmetry = Pmn2_1
- total magnetization (μB per formula unit) = 0.00
- raw total energy (eV per atom) = -5.886

```
TbSi2Ni
1.0
3.9332 0.0000 0.0000
0.0000 5.8990 0.0000
0.0000 0.0000 5.6525
Tb Si Ni
2 4 2
Direct
0.0000 0.1035 0.0000
0.5000 0.8965 0.5000
0.0000 0.2725 0.5101
0.0000 0.6270 0.7587
0.5000 0.3730 0.2587
0.5000 0.7275 0.0101
0.0000 0.5912 0.1969
0.5000 0.4088 0.6969
```